Here is crystalline Na3PaGe2Te6 at its relaxed geometry from the Alexandria database. Energies are from PBE.

Calculated values
calculated density = 5.40 Mg/m³
space group = C2/m
magnetic moment = 0.000 Bohr magnetons per cell
uncorrected formation energy = -0.6597 eV/atom
energy = -49.45 eV per cell

Cell lengths 7.640, 7.640, 7.796 Å; angles 99.39, 99.39, 120.02 degrees
Fractional coordinates of all 12 atoms:
Te 0.926 0.594 0.778
Te 0.742 0.742 0.222
Ge 0.666 0.334 0.000
Te 0.258 0.258 0.778
Na 0.500 0.500 0.500
Na 0.831 0.169 0.500
Te 0.594 0.926 0.778
Te 0.074 0.406 0.222
Ge 0.334 0.666 0.000
Na 0.169 0.831 0.500
Te 0.406 0.074 0.222
Pa 0.000 0.000 0.000

Here is crystalline CrHPd3 at its relaxed geometry from the Alexandria database. Energies are from PBE.

Calculated values
ΔE to the lowest computed polymorph = 129 meV per atom
calculated density = 9.99 Mg/m³
space group = P1
DOS at the Fermi energy = 6.91 states/eV/cell
magnetic moment = 0.000 Bohr magnetons per cell
energy = -56.71 eV per cell

Cell lengths 5.229, 5.406, 4.946 Å; angles 90.82, 95.32, 117.07 degrees
Fractional coordinates of all 10 atoms:
Pd 0.858 0.970 0.373
Pd 0.385 0.453 0.440
H 0.274 0.586 0.792
Pd 0.449 0.012 0.644
Cr 0.656 0.644 0.948
H 0.052 0.912 0.705
Pd 0.920 0.520 0.573
Cr 0.651 0.318 0.089
Pd 0.093 0.207 0.917
Pd 0.213 0.768 0.109

Here is crystalline SnGe2BiO8 at its relaxed geometry from the Alexandria database. Energies are from PBE.

Calculated values
calculated density = 5.59 Mg/m³
space group = P-3
DOS at the Fermi energy = 4.50 states/eV/cell
magnetic moment = 1.006 Bohr magnetons per cell
uncorrected formation energy = -1.2437 eV/atom
energy = -71.71 eV per cell

Cell lengths 5.526, 5.526, 6.746 Å; angles 90.00, 90.00, 120.00 degrees
Site moments in Bohr magnetons follow the coordinates.
Fractional coordinates of all 12 atoms:
Ge 0.667 0.333 0.229  -0.01
O 0.667 0.333 0.968  0.39
Sn 0.000 0.000 0.500  0.00
O 0.791 0.105 0.294  0.01
Bi 0.000 0.000 0.000  -0.02
O 0.895 0.686 0.294  0.01
O 0.105 0.314 0.706  0.01
O 0.209 0.895 0.706  0.01
O 0.686 0.791 0.706  0.01
Ge 0.333 0.667 0.771  -0.01
O 0.314 0.209 0.294  0.01
O 0.333 0.667 0.032  0.39